(1)
This record from OQMD describes a geometry-optimized Sr2InSiPd4 structure. The functional is PBE.

Unit cell a=16.2820 b=4.2973 c=5.8129 alpha=90.00 beta=101.84 gamma=90.00
Last column: nearest neighbours and their distance in Å.
Element x y z (fractional)
Sr (0.0000, 0.0000, 0.0000)  6 Pd 2.97-3.24
Sr (0.2249, 0.0000, 0.8700)  5 Pd 2.88-3.03
Sr (0.5000, 0.5000, 0.0000)  6 Pd 2.97-3.24
Sr (0.7249, 0.5000, 0.8700)  5 Pd 2.88-3.03
In (0.3213, 0.5000, 0.4059)  6 Pd 2.71-2.82
In (0.8213, 0.0000, 0.4059)  6 Pd 2.71-2.82
Si (0.0120, 0.5000, 0.5280)  4 Pd 2.35-2.42
Si (0.5120, 0.0000, 0.5280)  4 Pd 2.35-2.42
Pd (0.0690, 0.0000, 0.5150)  2 Si 2.35
Pd (0.2175, 0.0000, 0.3615)  2 In 2.71, 1 Pd 2.74, 2 Sr 2.88-2.93
Pd (0.3886, 0.0000, 0.6996)  1 Si 2.42
Pd (0.3915, 0.0000, 0.2096)  1 Si 2.41
Pd (0.5690, 0.5000, 0.5150)  2 Si 2.35
Pd (0.7175, 0.5000, 0.3615)  2 In 2.71, 1 Pd 2.74, 2 Sr 2.88-2.93
Pd (0.8886, 0.5000, 0.6996)  1 Si 2.42
Pd (0.8915, 0.5000, 0.2096)  1 Si 2.41

Electronic total energy (eV/atom): -4.460

---

(2)
This record from OQMD describes a geometry-optimized Ho4CF5 structure. The functional is PBE.

Unit cell a=7.4661 b=7.4661 c=6.7088 alpha=115.25 beta=115.25 gamma=26.21
Last column: nearest neighbours and their distance in Å.
Element x y z (fractional)
Ho (0.0021, 0.0021, 0.2615)  4 F 2.26-2.43, 2 C 2.34
Ho (0.3142, 0.3142, 0.3114)  6 F 2.33-2.55, 1 C 2.43
Ho (0.6858, 0.6858, 0.6886)  6 F 2.33-2.55, 1 C 2.43
Ho (0.9979, 0.9979, 0.7385)  4 F 2.26-2.43, 2 C 2.34
C (0.5000, 0.5000, 0.5000)  6 Ho 2.34-2.43
F (0.1714, 0.1714, 0.9562)  4 Ho 2.30-2.54
F (0.1744, 0.1744, 0.3937)  2 Ho 2.26-2.33
F (0.5000, 0.5000, 0.0000)  4 Ho 2.43
F (0.8256, 0.8256, 0.6063)  2 Ho 2.26-2.33
F (0.8286, 0.8286, 0.0438)  4 Ho 2.30-2.54

Electronic total energy (eV/atom): -6.337
Magnetic moment (μB per formula unit): 0.007

---

(3)
This record from OQMD describes a geometry-optimized BaCuTe3Au structure. The functional is PBE.

Unit cell a=6.8740 b=6.8740 c=11.6072 alpha=90.00 beta=90.00 gamma=141.90
Last column: nearest neighbours and their distance in Å.
Element x y z (fractional)
Ba (0.2495, 0.7505, 0.7500)  2 Cu 3.34, 9 Te 3.56-3.74
Ba (0.7505, 0.2495, 0.2500)  2 Cu 3.34, 9 Te 3.56-3.74
Cu (0.0598, 0.9402, 0.2500)  4 Te 2.57-2.74
Cu (0.9402, 0.0598, 0.7500)  4 Te 2.57-2.74
Te (0.1431, 0.8569, 0.0335)  1 Cu 2.74, 2 Au 2.94
Te (0.1431, 0.8569, 0.4665)  1 Cu 2.74, 2 Au 2.94
Te (0.4629, 0.5371, 0.2500)  2 Cu 2.57
Te (0.5371, 0.4629, 0.7500)  2 Cu 2.57
Te (0.8569, 0.1431, 0.5335)  1 Cu 2.74, 2 Au 2.94
Te (0.8569, 0.1431, 0.9665)  1 Cu 2.74, 2 Au 2.94
Au (0.5000, 0.5000, 0.0000)  6 Te 2.94
Au (0.5000, 0.5000, 0.5000)  6 Te 2.94

Electronic total energy (eV/atom): -3.590

---

(4)
This record from OQMD describes a geometry-optimized Ba2TlHg structure. The functional is PBE.

Unit cell a=8.2278 b=8.2278 c=8.2278 alpha=90.00 beta=90.00 gamma=90.00
Last column: nearest neighbours and their distance in Å.
Element x y z (fractional)
Ba (0.0000, 0.0000, 0.0000)  4 Hg 3.56, 4 Ba 3.56
Ba (0.0000, 0.5000, 0.5000)  4 Hg 3.56, 4 Ba 3.56
Ba (0.2500, 0.2500, 0.2500)  4 Ba 3.56, 4 Tl 3.56
Ba (0.2500, 0.7500, 0.7500)  4 Ba 3.56, 4 Tl 3.56
Ba (0.5000, 0.0000, 0.5000)  4 Hg 3.56, 4 Ba 3.56
Ba (0.5000, 0.5000, 0.0000)  4 Hg 3.56, 4 Ba 3.56
Ba (0.7500, 0.2500, 0.7500)  4 Ba 3.56, 4 Tl 3.56
Ba (0.7500, 0.7500, 0.2500)  4 Ba 3.56, 4 Tl 3.56
Tl (0.0000, 0.0000, 0.5000)  4 Ba 3.56, 4 Hg 3.56
Tl (0.0000, 0.5000, 0.0000)  4 Ba 3.56, 4 Hg 3.56
Tl (0.5000, 0.0000, 0.0000)  4 Ba 3.56, 4 Hg 3.56
Tl (0.5000, 0.5000, 0.5000)  4 Ba 3.56, 4 Hg 3.56
Hg (0.2500, 0.2500, 0.7500)  4 Ba 3.56, 4 Tl 3.56
Hg (0.2500, 0.7500, 0.2500)  4 Ba 3.56, 4 Tl 3.56
Hg (0.7500, 0.2500, 0.2500)  4 Ba 3.56, 4 Tl 3.56
Hg (0.7500, 0.7500, 0.7500)  4 Ba 3.56, 4 Tl 3.56

Electronic total energy (eV/atom): -1.862

---

(5)
This record from OQMD describes a geometry-optimized Dy2Fe4B4Pt structure. The functional is PBE.

Unit cell a=7.2679 b=6.0855 c=5.3840 alpha=78.38 beta=55.10 gamma=46.52
Last column: nearest neighbours and their distance in Å.
Element x y z (fractional)
Dy (0.1471, 0.1471, 0.8529)  8 B 2.89-3.14, 8 Fe 2.92-3.14, 2 Pt 3.04
Dy (0.8529, 0.8529, 0.1471)  8 B 2.89-3.14, 8 Fe 2.92-3.14, 2 Pt 3.04
Fe (0.0000, 0.0000, 0.5000)  4 B 2.11
Fe (0.2500, 0.2500, 0.2500)  4 B 1.96
Fe (0.5000, 0.5000, 0.0000)  4 B 2.11
Fe (0.7500, 0.7500, 0.7500)  4 B 1.96
B (0.1964, 0.5336, 0.4664)  4 Fe 1.96-2.11, 1 Pt 2.18
B (0.4664, 0.8036, 0.1964)  4 Fe 1.96-2.11, 1 Pt 2.18
B (0.5336, 0.1964, 0.8036)  4 Fe 1.96-2.11, 1 Pt 2.18
B (0.8036, 0.4664, 0.5336)  4 Fe 1.96-2.11, 1 Pt 2.18
Pt (0.5000, 0.5000, 0.5000)  4 B 2.18

Electronic total energy (eV/atom): -7.333
Magnetic moment (μB per formula unit): 1.800

---

(6)
This record from OQMD describes a geometry-optimized TbSmSn2Os2 structure. The functional is PBE.

Unit cell a=4.5317 b=4.5317 c=6.8792 alpha=90.00 beta=90.00 gamma=90.00
Last column: nearest neighbours and their distance in Å.
Element x y z (fractional)
Tb (0.0000, 0.0000, 0.0000)  4 Os 2.98, 4 Sn 3.23
Sm (0.5000, 0.5000, 0.4243)  4 Os 3.03, 5 Sn 3.24-3.33
Sn (0.0000, 0.0000, 0.4943)  4 Os 2.74
Sn (0.5000, 0.5000, 0.9401)  4 Os 2.73
Os (0.0000, 0.5000, 0.7178)  4 Sn 2.73-2.74, 2 Tb 2.98, 2 Sm 3.03
Os (0.5000, 0.0000, 0.7178)  4 Sn 2.73-2.74, 2 Tb 2.98, 2 Sm 3.03

Electronic total energy (eV/atom): -6.954
Magnetic moment (μB per formula unit): 0.006

---

(7)
This record from OQMD describes a geometry-optimized Ga2PtI2Br2Cl4 structure. The functional is PBE.

Unit cell a=7.7612 b=7.7612 c=7.6965 alpha=98.81 beta=98.81 gamma=66.96
Last column: nearest neighbours and their distance in Å.
Element x y z (fractional)
Ga (0.2145, 0.2145, 0.3266)  1 Br 2.29, 2 Cl 2.35, 1 I 2.50
Ga (0.7855, 0.7855, 0.6734)  1 Br 2.29, 2 Cl 2.35, 1 I 2.50
Pt (0.0000, 0.0000, 0.0000)  4 Cl 2.32
I (0.1786, 0.1786, 0.6353)  1 Ga 2.50
I (0.8214, 0.8214, 0.3647)  1 Ga 2.50
Br (0.3842, 0.3842, 0.2807)  1 Ga 2.29
Br (0.6158, 0.6158, 0.7193)  1 Ga 2.29
Cl (0.0746, 0.7010, 0.8500)  1 Pt 2.32, 1 Ga 2.35
Cl (0.2990, 0.9254, 0.1500)  1 Pt 2.32, 1 Ga 2.35
Cl (0.7010, 0.0746, 0.8500)  1 Pt 2.32, 1 Ga 2.35
Cl (0.9254, 0.2990, 0.1500)  1 Pt 2.32, 1 Ga 2.35

ΔE to the lowest computed polymorph (eV/atom): 0.000
Magnetic moment (μB per formula unit): 0.002

---

(8)
This record from OQMD describes a geometry-optimized HfBeInIr structure. The functional is PBE.

Unit cell a=6.4126 b=6.4126 c=6.4126 alpha=90.00 beta=90.00 gamma=90.00
Last column: nearest neighbours and their distance in Å.
Element x y z (fractional)
Hf (0.0000, 0.0000, 0.0000)  4 In 2.78, 4 Ir 2.78
Hf (0.0000, 0.5000, 0.5000)  4 In 2.78, 4 Ir 2.78
Hf (0.5000, 0.0000, 0.5000)  4 In 2.78, 4 Ir 2.78
Hf (0.5000, 0.5000, 0.0000)  4 In 2.78, 4 Ir 2.78
Be (0.0000, 0.0000, 0.5000)  4 Ir 2.78, 4 In 2.78
Be (0.0000, 0.5000, 0.0000)  4 Ir 2.78, 4 In 2.78
Be (0.5000, 0.0000, 0.0000)  4 Ir 2.78, 4 In 2.78
Be (0.5000, 0.5000, 0.5000)  4 Ir 2.78, 4 In 2.78
In (0.2500, 0.2500, 0.2500)  4 Hf 2.78, 4 Be 2.78
In (0.2500, 0.7500, 0.7500)  4 Hf 2.78, 4 Be 2.78
In (0.7500, 0.2500, 0.7500)  4 Hf 2.78, 4 Be 2.78
In (0.7500, 0.7500, 0.2500)  4 Hf 2.78, 4 Be 2.78
Ir (0.2500, 0.2500, 0.7500)  4 Hf 2.78, 4 Be 2.78
Ir (0.2500, 0.7500, 0.2500)  4 Hf 2.78, 4 Be 2.78
Ir (0.7500, 0.2500, 0.2500)  4 Hf 2.78, 4 Be 2.78
Ir (0.7500, 0.7500, 0.7500)  4 Hf 2.78, 4 Be 2.78

ΔE to the lowest computed polymorph (eV/atom): 0.170
Magnetic moment (μB per formula unit): 0.001

---

Which formula does entry 4 have? Ba2TlHg